! PBEsol Hf3AgHg, relaxed; values from VASP
! DOS(E_F) = 1.0541 states/eV per atom
! ΔE_f = 91.7 kJ per mole of atoms
! DFT total energy = -0.45036 Ry/atom
! V = 24.9 Å³ per atom
&SYSTEM
  ibrav = 0, nat = 5, ntyp = 3
/
ATOMIC_SPECIES
Hf 178.49 Hf.upf
Ag 107.87 Ag.upf
Hg 200.59 Hg.upf
ATOMIC_POSITIONS crystal
Hf 0.000 0.000 0.500
Hf 0.000 0.500 0.000
Hf 0.500 0.000 0.000
Ag 0.000 0.000 0.000
Hg 0.500 0.500 0.500
CELL_PARAMETERS angstrom
4.992 0.000 0.000
0.000 4.992 0.000
0.000 0.000 4.992